[1]
Crystalline NaVHg2S4 at its relaxed geometry, computed with GGA-PBE.

Cell lengths 6.996, 6.996, 6.996 Å; angles 128.30, 128.30, 76.15 degrees
Atoms (fractional coordinates):
Na  0.000  0.000  0.000
V  0.500  0.500  0.000
Hg  0.250  0.750  0.500
Hg  0.750  0.250  0.500
S  0.165  0.600  0.000
S  0.400  0.400  0.566
S  0.600  0.165  0.000
S  0.835  0.835  0.434

=====

[2]
Crystalline NaZnHgS2 at its relaxed geometry, computed with GGA-PBE.

Cell lengths 4.965, 4.965, 5.595 Å; angles 90.00, 90.00, 90.00 degrees
Atoms (fractional coordinates):
Na  0.000  0.000  0.000
Zn  0.500  0.500  0.500
Hg  0.000  0.000  0.500
S  0.000  0.500  0.000
S  0.500  0.000  0.000

=====

[3]
Crystalline NaZrHgS2 at its relaxed geometry, computed with GGA-PBE.

Cell lengths 5.250, 5.250, 5.332 Å; angles 90.00, 90.00, 90.00 degrees
Atoms (fractional coordinates):
Na  0.000  0.000  0.000
Zr  0.500  0.500  0.000
Hg  0.500  0.500  0.500
S  0.000  0.500  0.500
S  0.500  0.000  0.500

=====

[4]
Crystalline NaHg4Sb at its relaxed geometry, computed with GGA-PBE.

Cell lengths 5.482, 6.180, 10.167 Å; angles 90.25, 90.08, 110.07 degrees
Atoms (fractional coordinates):
Na  0.151  0.365  0.250
Na  0.849  0.635  0.750
Hg  0.070  0.178  0.902
Hg  0.071  0.176  0.600
Hg  0.360  0.675  0.540
Hg  0.363  0.678  0.959
Hg  0.637  0.322  0.041
Hg  0.640  0.325  0.460
Hg  0.929  0.824  0.400
Hg  0.930  0.822  0.098
Sb  0.482  0.957  0.250
Sb  0.518  0.043  0.750

Computed properties:
**E above lowest polymorph**: 0.000 eV/atom

=====

[5]
Crystalline Na6HgSb2 at its relaxed geometry, computed with GGA-PBE.

Cell lengths 9.184, 9.184, 9.184 Å; angles 145.75, 132.57, 59.79 degrees
Atoms (fractional coordinates):
Na  0.039  0.315  0.724
Na  0.216  0.000  0.216
Na  0.409  0.685  0.724
Na  0.591  0.315  0.276
Na  0.784  0.000  0.784
Na  0.961  0.685  0.276
Hg  0.500  0.500  0.000
Sb  0.164  0.164  0.000
Sb  0.836  0.836  0.000

=====

[6]
Crystalline Na4Hg2Sb5 at its relaxed geometry, computed with GGA-PBE.

Cell lengths 9.006, 3.251, 11.028 Å; angles 90.00, 106.75, 90.00 degrees
Atoms (fractional coordinates):
Na  0.176  0.000  0.446
Na  0.282  0.000  0.973
Na  0.718  0.000  0.027
Na  0.824  0.000  0.554
Hg  0.101  0.500  0.146
Hg  0.899  0.500  0.854
Sb  0.155  0.500  0.708
Sb  0.495  0.500  0.777
Sb  0.500  0.500  0.500
Sb  0.505  0.500  0.223
Sb  0.845  0.500  0.292

=====

The records above give, respectively, raw formation energy values of -0.50, 0.62, 0.66, -0.08, -0.29, -0.19 eV per atom.